# 1
Mg2CdAg: relaxed, PBEsol.

Calculated values
* theoretical density: 5.8 g/cm3
* calculated total energy: -2.13 eV/atom
* N(E_F): 0.270 states/eV per atom
* formation energy: -0.148 eV/atom
* size of the total moment: 0.00 μB per atom
* excess energy over the best structure of this formula in the dataset: 39.3 meV per atom
* space-group type: Cm, No. 8

Unit cell a=3.2172 b=4.8727 c=5.4571 alpha=108.40 beta=107.14 gamma=90.00
Element x y z (fractional)
Ag1 0.4949 0.5351 0.9899
Mg1 0.2326 0.7018 0.4652
Mg2 0.0088 0.0368 0.0176
Cd1 0.7637 0.2263 0.5273


# 2
WOF4: relaxed, PBEsol.

Calculated values
* theoretical density: 4.5 g/cm3
* calculated total energy: -7.01 eV/atom
* N(E_F): 0.000 states/eV per atom
* formation energy without anion corrections: -1475 kJ/mol of formula units
* size of the total moment: 0.00 μB per atom
* excess energy over the best structure of this formula in the dataset: 24.4 meV per atom
* space-group type: I-4, No. 82

Unit cell a=6.5104 b=8.5475 c=8.5475 alpha=81.66 beta=67.61 gamma=67.61
Element x y z (fractional)
F1 0.6219 0.5112 0.1174
F2 0.5059 0.6807 0.7915
F3 0.2607 0.1174 0.4888
O1 0.0978 0.7674 0.0552
O2 0.1348 0.9448 0.7674
F4 0.8670 0.8826 0.5112
F5 0.7026 0.7915 0.3193
F6 0.3745 0.1431 0.7435
W1 0.0907 0.1781 0.7161
W2 0.1932 0.7161 0.8219
F7 0.0516 0.4030 0.6605
F8 0.2505 0.4888 0.8826
F9 0.8820 0.7435 0.8569
F10 0.4824 0.2565 0.1431
W3 0.7311 0.2839 0.1781
W4 0.9850 0.8219 0.2839
F11 0.8134 0.2085 0.6807
F12 0.5454 0.3395 0.4030
O3 0.8470 0.0552 0.2326
F13 0.9781 0.3193 0.2085
F14 0.2879 0.6605 0.5970
F15 0.2611 0.8569 0.2565
F16 0.1151 0.5970 0.3395
O4 0.9204 0.2326 0.9448


# 3
Ca2AlHg: relaxed, PBEsol.

Calculated values
* theoretical density: 4.4 g/cm3
* calculated total energy: -2.26 eV/atom
* N(E_F): 0.856 states/eV per atom
* formation energy: -0.029 eV/atom
* size of the total moment: 0.00 μB per atom
* excess energy over the best structure of this formula in the dataset: 376.0 meV per atom
* space-group type: I-42d, No. 122

Unit cell a=6.7415 b=6.7415 c=6.7415 alpha=104.65 beta=104.65 gamma=119.61
Element x y z (fractional)
Ca1 0.1250 0.6337 0.0087
Ca2 0.8837 0.8750 0.5087
Hg1 0.2500 0.7500 0.5000
Ca3 0.3663 0.3750 0.4913
Ca4 0.6250 0.1163 0.9913
Al1 0.7500 0.2500 0.5000
Al2 0.5000 0.5000 0.0000
Hg2 0.0000 0.0000 0.0000


# 4
LiCd2BiAs: relaxed, PBEsol.

Calculated values
* theoretical density: 5.5 g/cm3
* calculated total energy: -2.44 eV/atom
* N(E_F): 0.689 states/eV per atom
* formation energy: 0.309 eV/atom
* size of the total moment: 0.00 μB per atom
* space-group type: P4/mmm, No. 123

Unit cell a=5.1576 b=5.1576 c=5.8576 alpha=90.00 beta=90.00 gamma=90.00
Element x y z (fractional)
Cd1 0.5000 0.0000 0.0000
Cd2 0.0000 0.5000 0.0000
As1 0.0000 0.0000 0.0000
Bi1 0.0000 0.0000 0.5000
Li1 0.5000 0.5000 0.5000